# Nd4RuSI2

An optimized crystal structure of Nd4RuSI2 (PBE-GGA, the Alexandria database).

Lattice parameters (Å, degrees): 7.517 4.110 8.227 90.00 106.20 90.00
Space group P2/m (No. 10)
Asymmetric unit:
Nd1 0.215 0.000 0.187
Nd2 0.262 0.500 0.815
Ru1 0.000 0.500 0.000
S1 0.500 0.000 0.000
I1 0.000 0.000 0.500
I2 0.500 0.500 0.500

Output
formation energy (no corrections) = -1053.0 meV/atom
total DFT energy (no corrections) = -5.500 eV per atom

***

# Ba8LiPt4

An optimized crystal structure of Ba8LiPt4 (PBE-GGA, the Alexandria database).

Lattice parameters (Å, degrees): 22.113 4.645 15.086 90.00 130.99 90.00
Space group Cm (No. 8)
Asymmetric unit:
Ba1 0.000 0.000 0.000
Ba2 0.030 0.000 0.747
Ba3 0.074 0.000 0.481
Ba4 0.161 0.500 0.339
Ba5 0.205 0.500 0.073
Ba6 0.236 0.500 0.821
Ba7 0.326 0.000 0.666
Ba8 0.409 0.000 0.154
Li1 0.367 0.000 0.410
Pt1 0.015 0.500 0.875
Pt2 0.033 0.000 0.238
Pt3 0.203 0.500 0.583
Pt4 0.220 0.000 0.946

Output
formation enthalpy at 0 K = -0.55 eV per atom
total DFT energy (no corrections) = -3.737 eV per atom

***

# Li3CuBi

An optimized crystal structure of Li3CuBi (PBE-GGA, the Alexandria database).

Lattice parameters (Å, degrees): 5.204 5.204 5.204 90.00 90.00 90.00
Space group Pm-3m (No. 221)
Asymmetric unit:
Li1 0.000 0.000 0.500
Cu1 0.500 0.500 0.500
Bi1 0.000 0.000 0.000

Output
formation enthalpy at 0 K = 0.25 eV per atom
total DFT energy (no corrections) = -2.495 eV per atom
excess energy over the best structure of this formula in the dataset = 397.2 meV per atom

***

# KAcCu2Sb2

An optimized crystal structure of KAcCu2Sb2 (PBE-GGA, the Alexandria database).

Lattice parameters (Å, degrees): 4.5594 4.5594 9.6054 90.00 90.00 120.00
Space group P-3m1 (No. 164)
Asymmetric unit:
K1 0.0000 0.0000 0.0000
Ac1 0.0000 0.0000 0.5000
Cu1 0.3333 0.6667 0.7182
Sb1 0.3333 0.6667 0.2702

Output
formation energy (no corrections) = -568.7 meV/atom
total DFT energy (no corrections) = -4.176 eV per atom

***

# Cr2CoAu

An optimized crystal structure of Cr2CoAu (PBE-GGA, the Alexandria database).

Lattice parameters (Å, degrees): 8.631 2.803 4.634 90.00 103.30 90.00
Space group Cm (No. 8)
Asymmetric unit:
Cr1 0.000 0.000 0.000
Cr2 0.239 0.500 0.230
Co1 0.476 0.000 0.430
Au1 0.236 0.000 0.715

Output
formation enthalpy at 0 K = 0.32 eV per atom
total DFT energy (no corrections) = -7.092 eV per atom
excess energy over the best structure of this formula in the dataset = 149.5 meV per atom

***

# Cr2GaB2

An optimized crystal structure of Cr2GaB2 (PBE-GGA, the Alexandria database).

Lattice parameters (Å, degrees): 5.610 5.610 2.972 90.00 90.00 90.00
Space group P4/mbm (No. 127)
Asymmetric unit:
Cr1 0.172 0.328 0.000
Ga1 0.000 0.000 0.500
B1 0.111 0.611 0.500

Output
formation enthalpy at 0 K = -0.24 eV per atom
total DFT energy (no corrections) = -7.364 eV per atom